Entry from Alexandria via LeMat-Bulk: a relaxed structure of Tb3P3Ir2 (PBE).

a b c (Å): 5.591 5.591 13.944
angles (deg): 90.00 90.00 135.69
Positions (direct):
Tb (0.092, 0.908, 0.608)
Tb (0.092, 0.908, 0.892)
Tb (0.376, 0.624, 0.750)
Tb (0.624, 0.376, 0.250)
Tb (0.908, 0.092, 0.108)
Tb (0.908, 0.092, 0.392)
P (0.331, 0.669, 0.250)
P (0.368, 0.632, 0.536)
P (0.368, 0.632, 0.964)
P (0.632, 0.368, 0.036)
P (0.632, 0.368, 0.464)
P (0.669, 0.331, 0.750)
Ir (0.190, 0.810, 0.101)
Ir (0.190, 0.810, 0.399)
Ir (0.810, 0.190, 0.601)
Ir (0.810, 0.190, 0.899)

The calculation puts the energy relative to the elements at -1.125 eV per atom. As for the space group: Cmcm (63). The value obtained for the density of states at the Fermi level is 3.3 states/eV/f.u. The total energy comes out at -56.84 eV per formula unit. As for the magnetization: 0.00 μB per formula unit.

Entry from Alexandria via LeMat-Bulk: a relaxed structure of Rb4Pr3YO8 (PBE).

a b c (Å): 7.844 7.844 7.844
angles (deg): 55.61 55.61 55.61
Positions (direct):
Rb (0.000, 0.000, 0.000)
Rb (0.000, 0.500, 0.500)
Rb (0.500, 0.000, 0.500)
Rb (0.500, 0.500, 0.000)
Pr (0.000, 0.000, 0.500)
Pr (0.000, 0.500, 0.000)
Pr (0.500, 0.000, 0.000)
Y (0.500, 0.500, 0.500)
O (0.227, 0.227, 0.227)
O (0.237, 0.722, 0.722)
O (0.278, 0.278, 0.763)
O (0.278, 0.763, 0.278)
O (0.722, 0.237, 0.722)
O (0.722, 0.722, 0.237)
O (0.763, 0.278, 0.278)
O (0.773, 0.773, 0.773)

Its uncorrected formation energy is -2.555 eV per atom. As for the space group: R-3m (166). The value obtained for the density of states at the Fermi level is 0.0 states/eV/f.u. The total energy comes out at -105.23 eV per formula unit. As for the magnetization: 0.00 μB per formula unit.